1.
Entry from Alexandria: an optimized crystal structure of Fe2IrW (PBE).

Unit cell a=6.043 b=6.043 c=6.043 alpha=90.00 beta=90.00 gamma=90.00
Space group F-43m (No. 216)
Unique sites:
Fe  0.000  0.000  0.000 (multiplicity 4)
Fe  0.250  0.250  0.250 (multiplicity 4)
Ir  0.000  0.000  0.500 (multiplicity 4)
W  0.250  0.250  0.750 (multiplicity 4)

Results
* magnetization: 1.272 μB per atom
* energy of formation from the pure elements: 0.22 eV/f.u.
* raw total energy: -9.63 eV/atom
* calculated volume: 13.789 Å³/atom

2.
Entry from Alexandria: an optimized crystal structure of CaPm2BiO6 (PBE).

Unit cell a=5.9896 b=5.9896 c=15.4765 alpha=90.00 beta=90.00 gamma=120.00
Space group R3 (No. 146, hexagonal axes)
Unique sites:
Ca  0.0000  0.0000  0.0000 (multiplicity 3)
Pm  0.0000  0.0000  0.2787 (multiplicity 3)
Pm  0.0000  0.0000  0.7791 (multiplicity 3)
Bi  0.0000  0.0000  0.4937 (multiplicity 3)
O  0.0450  0.3673  0.5566 (multiplicity 9)
O  0.0521  0.6698  0.0598 (multiplicity 9)

Results
* magnetization: 0.099 μB per atom
* raw total energy: -7.09 eV/atom
* uncorrected formation energy: -2581.6 meV/atom
* calculated volume: 16.028 Å³/atom

3.
Entry from Alexandria: an optimized crystal structure of HoErZr (PBE).

Unit cell a=4.648 b=4.648 c=8.180 alpha=90.00 beta=90.00 gamma=90.00
Space group P4/nmm (No. 129, origin choice 2)
Unique sites:
Ho  0.250  0.250  0.212 (multiplicity 2)
Er  0.250  0.250  0.786 (multiplicity 2)
Zr  0.250  0.750  0.500 (multiplicity 2)

Results
* magnetization: 0.000 μB per atom
* offset from the most stable computed form: 0.1203 eV per atom
* energy of formation from the pure elements: 0.57 eV/f.u.
* raw total energy: -5.71 eV/atom
* calculated volume: 29.451 Å³/atom

4.
Entry from Alexandria: an optimized crystal structure of Sr2CrPb (PBE).

Unit cell a=5.749 b=5.749 c=4.039 alpha=90.00 beta=90.00 gamma=90.00
Space group P4/mmm (No. 123)
Unique sites:
Sr  0.000  0.500  0.000 (multiplicity 2)
Cr  0.000  0.000  0.500 (multiplicity 1)
Pb  0.500  0.500  0.500 (multiplicity 1)

Results
* magnetization: 1.212 μB per atom
* energy of formation from the pure elements: 0.35 eV/f.u.
* raw total energy: -4.09 eV/atom
* calculated volume: 33.369 Å³/atom

5.
Entry from Alexandria: an optimized crystal structure of Sc2TlTcB (PBE).

Unit cell a=4.714 b=4.714 c=4.078 alpha=90.00 beta=90.00 gamma=90.00
Space group P4/mmm (No. 123)
Unique sites:
Sc  0.000  0.500  0.000 (multiplicity 2)
Tl  0.000  0.000  0.500 (multiplicity 1)
Tc  0.500  0.500  0.500 (multiplicity 1)
B  0.500  0.500  0.000 (multiplicity 1)

Results
* magnetization: 0.000 μB per atom
* energy of formation from the pure elements: -1.42 eV/f.u.
* raw total energy: -6.70 eV/atom
* calculated volume: 18.127 Å³/atom

6.
Entry from Alexandria: an optimized crystal structure of CsSrSiHRh (PBE).

Unit cell a=3.954 b=5.113 c=7.751 alpha=108.99 beta=90.16 gamma=90.02
Space group P1 (No. 1)
Unique sites:
Cs  0.000  0.000  0.000 (multiplicity 1)
Sr  0.497  0.738  0.466 (multiplicity 1)
Si  0.498  0.363  0.726 (multiplicity 1)
H  0.996  0.404  0.383 (multiplicity 1)
Rh  0.997  0.287  0.565 (multiplicity 1)

Results
* magnetization: 0.000 μB per atom
* offset from the most stable computed form: 0.0154 eV per atom
* raw total energy: -3.99 eV/atom
* calculated volume: 29.632 Å³/atom

7.
Entry from Alexandria: an optimized crystal structure of Sm4UN4 (PBE).

Unit cell a=5.727 b=5.727 c=11.352 alpha=90.00 beta=90.00 gamma=90.00
Space group I-42m (No. 121)
Unique sites:
Sm  0.000  0.000  0.213 (multiplicity 4)
Sm  0.000  0.500  0.000 (multiplicity 4)
U  0.000  0.000  0.500 (multiplicity 2)
N  0.211  0.211  0.629 (multiplicity 8)

Results
* magnetization: 0.305 μB per atom
* raw total energy: -7.80 eV/atom
* uncorrected formation energy: -746.0 meV/atom
* calculated volume: 20.683 Å³/atom

8.
Entry from Alexandria: an optimized crystal structure of Ba2Al5Ga3 (PBE).

Unit cell a=11.156 b=12.915 c=6.448 alpha=90.00 beta=90.00 gamma=90.00
Space group Ibam (No. 72)
Unique sites:
Ba  0.244  0.125  0.000 (multiplicity 8)
Al  0.000  0.261  0.250 (multiplicity 8)
Al  0.000  0.500  0.250 (multiplicity 4)
Al  0.126  0.128  0.500 (multiplicity 8)
Ga  0.000  0.000  0.250 (multiplicity 4)
Ga  0.136  0.379  0.000 (multiplicity 8)

Results
* magnetization: 0.000 μB per atom
* offset from the most stable computed form: 0.0000 eV per atom
* energy of formation from the pure elements: -3.33 eV/f.u.
* raw total energy: -3.50 eV/atom
* calculated volume: 23.225 Å³/atom

9.
Entry from Alexandria: an optimized crystal structure of HfMgAs2Br (PBE).

Unit cell a=5.199 b=5.199 c=5.218 alpha=90.00 beta=90.00 gamma=90.00
Space group P4/mmm (No. 123)
Unique sites:
Hf  0.000  0.000  0.000 (multiplicity 1)
Mg  0.500  0.500  0.500 (multiplicity 1)
As  0.000  0.500  0.000 (multiplicity 2)
Br  0.000  0.000  0.500 (multiplicity 1)

Results
* magnetization: 0.000 μB per atom
* offset from the most stable computed form: 0.0000 eV per atom
* raw total energy: -4.66 eV/atom
* uncorrected formation energy: -160.8 meV/atom
* calculated volume: 28.210 Å³/atom

10.
Entry from Alexandria: an optimized crystal structure of Pm4GeTe (PBE).

Unit cell a=7.334 b=7.484 c=7.255 alpha=90.00 beta=92.35 gamma=90.00
Space group P2_1/c (No. 14)
Unique sites:
Pm  0.132  0.158  0.354 (multiplicity 4)
Pm  0.341  0.640  0.359 (multiplicity 4)
Ge  0.000  0.000  0.000 (multiplicity 2)
Te  0.500  0.000  0.500 (multiplicity 2)

Results
* magnetization: 0.006 μB per atom
* raw total energy: -5.02 eV/atom
* uncorrected formation energy: -555.8 meV/atom
* calculated volume: 33.157 Å³/atom

11.
Entry from Alexandria: an optimized crystal structure of Pu2NpUP4 (PBE).

Unit cell a=5.595 b=5.595 c=11.212 alpha=90.00 beta=90.00 gamma=90.00
Space group I-4m2 (No. 119)
Unique sites:
Pu  0.000  0.000  0.000 (multiplicity 2)
Pu  0.000  0.500  0.250 (multiplicity 2)
Np  0.000  0.000  0.500 (multiplicity 2)
U  0.000  0.500  0.750 (multiplicity 2)
P  0.000  0.000  0.250 (multiplicity 4)
P  0.000  0.500  0.503 (multiplicity 4)

Results
* magnetization: 0.583 μB per atom
* energy of formation from the pure elements: -8.01 eV/f.u.
* raw total energy: -10.32 eV/atom
* calculated volume: 21.940 Å³/atom

12.
Entry from Alexandria: an optimized crystal structure of Ca2CrPb (PBE).

Unit cell a=8.540 b=8.540 c=6.746 alpha=90.00 beta=90.00 gamma=90.00
Space group I-42d (No. 122)
Unique sites:
Ca  0.242  0.250  0.125 (multiplicity 8)
Cr  0.000  0.000  0.000 (multiplicity 4)
Pb  0.000  0.000  0.500 (multiplicity 4)

Results
* magnetization: 1.137 μB per atom
* energy of formation from the pure elements: 1.49 eV/f.u.
* raw total energy: -3.96 eV/atom
* calculated volume: 30.749 Å³/atom